# 1
Here is crystalline LaHfBe2Ge2 at its relaxed geometry from the Open Quantum Materials Database. Energies are from PBE.

Cell: 3.8671 3.8671 8.1415 Å, 90.00 90.00 120.00°
Fractional coordinates of all 6 atoms:
1 Be 0.6667 0.3333 0.2110
2 Be 0.3333 0.6667 0.7890
3 Ge 0.6667 0.3333 0.7755
4 Ge 0.3333 0.6667 0.2245
5 La 0.0000 0.0000 0.5000
6 Hf 0.0000 0.0000 0.0000

Final energy (eV/atom): -5.842
V (Å³/cell): 105
SG: P-3m1, No. 164

# 2
Here is crystalline AgB4As at its relaxed geometry from the Open Quantum Materials Database. Energies are from PBE.

Cell: 5.0051 5.0051 5.0051 Å, 144.51 116.19 75.19°
Fractional coordinates of all 6 atoms:
1 As 0.0000 0.0000 0.0000
2 B 0.5836 0.2506 0.3331
3 B 0.4164 0.7494 0.6669
4 B 0.0825 0.7494 0.3331
5 B 0.9175 0.2506 0.6669
6 Ag 0.5000 0.5000 0.0000

Final energy (eV/atom): -5.056
V (Å³/cell): 64
Distance to the lowest polymorph of the same formula (meV/atom): 22
SG: Immm, No. 71

# 3
Here is crystalline DyPuBr6 at its relaxed geometry from the Open Quantum Materials Database. Energies are from PBE.

Cell: 7.3653 7.3653 7.2108 Å, 100.12 100.12 119.96°
Each line ends with the local moment (μB).
Fractional coordinates of all 8 atoms:
1 Br 0.7739 0.7818 0.7625  -0.03
2 Br 0.9355 0.5730 0.2358  -0.02
3 Br 0.0570 0.4116 0.7647  -0.03
4 Br 0.4270 0.0645 0.7642  -0.02
5 Br 0.2182 0.2261 0.2375  -0.03
6 Br 0.5884 0.9430 0.2353  -0.03
7 Pu 0.1664 0.8336 0.0000  5.06
8 Dy 0.8336 0.1664 0.0000  0.01

Final energy (eV/atom): -5.319
V (Å³/cell): 317
SG: C2, No. 5